Compound: TcOsRu2
Source: Alexandria
Functional: PBE
Structure: optimized geometry

Results
DOS at the Fermi energy (states/eV/f.u.): 4.2
SG: P-1, No. 2
Excess energy over the best structure of this formula in the dataset (meV/atom): 134
Volume (Å³/atom): 14.19
Raw total energy (eV per atom): -9.9644

a = 5.4300 Å, b = 5.4412 Å, c = 10.8245 Å
α = 60.20°, β = 89.87°, γ = 119.86°
Element x y z (fractional)
Tc1 0.2505 0.5033 0.6227
Tc2 0.7495 0.4967 0.3773
Tc3 0.2494 0.9966 0.8773
Tc4 0.7506 0.0034 0.1227
Os1 0.2502 0.0000 0.3746
Os2 0.7498 0.0000 0.6254
Os3 0.2498 0.5000 0.1254
Os4 0.7502 0.5000 0.8746
Ru1 0.7494 0.9992 0.8747
Ru2 0.2506 0.0008 0.1253
Ru3 0.7506 0.5008 0.6253
Ru4 0.2494 0.4992 0.3747
Ru5 0.7490 0.4992 0.1255
Ru6 0.2510 0.5008 0.8745
Ru7 0.7510 0.0008 0.3745
Ru8 0.2490 0.9992 0.6255

---

Compound: Tc3OsRu2
Source: Alexandria
Functional: PBE
Structure: optimized geometry

Results
DOS at the Fermi energy (states/eV/f.u.): 6.0
SG: P-1, No. 2
Volume (Å³/atom): 14.71
Raw total energy (eV per atom): -9.9450

a = 2.7187 Å, b = 7.8257 Å, c = 8.9021 Å
α = 109.37°, β = 98.50°, γ = 89.99°
Element x y z (fractional)
Tc1 0.7038 0.7137 0.3953
Tc2 0.9261 0.2384 0.8565
Tc3 0.5514 0.4284 0.1164
Tc4 0.2962 0.2863 0.6047
Tc5 0.4486 0.5716 0.8836
Tc6 0.0739 0.7616 0.1435
Os1 0.6786 0.0335 0.3654
Os2 0.3214 0.9665 0.6346
Ru1 0.6949 0.3765 0.3886
Ru2 0.3051 0.6235 0.6114
Ru3 0.0700 0.1275 0.1371
Ru4 0.9300 0.8725 0.8629

---

Compound: TcOsRu
Source: Alexandria
Functional: PBE
Structure: optimized geometry

Results
DOS at the Fermi energy (states/eV/f.u.): 4.2
SG: I4mm, No. 107
Excess energy over the best structure of this formula in the dataset (meV/atom): 33
Volume (Å³/atom): 14.30
Raw total energy (eV per atom): -10.1925

a = 6.0714 Å, b = 6.0714 Å, c = 2.7301 Å
α = 77.01°, β = 77.01°, γ = 25.99°
Element x y z (fractional)
Os1 0.0003 0.0003 0.9997
Ru1 0.3336 0.3336 0.6664
Tc1 0.6661 0.6661 0.3339

---

Compound: TcOs2Ru
Source: Alexandria
Functional: PBE
Structure: optimized geometry

Results
DOS at the Fermi energy (states/eV/f.u.): 2.8
SG: R3m, No. 160
Excess energy over the best structure of this formula in the dataset (meV/atom): 73
Volume (Å³/atom): 14.26
Raw total energy (eV per atom): -10.5103

a = 2.7351 Å, b = 4.7338 Å, c = 8.9508 Å
α = 84.91°, β = 98.77°, γ = 90.07°
Element x y z (fractional)
Tc1 0.5414 0.8985 0.5670
Tc2 0.0415 0.3985 0.5670
Os1 0.1689 0.6891 0.8248
Os2 0.9154 0.1072 0.3175
Os3 0.4154 0.6072 0.3175
Os4 0.6688 0.1891 0.8248
Ru1 0.2941 0.9801 0.0741
Ru2 0.7941 0.4801 0.0741

---

Compound: TcOsRu
Source: Alexandria
Functional: PBE
Structure: optimized geometry

Results
DOS at the Fermi energy (states/eV/f.u.): 4.3
SG: Fdd2, No. 43
Excess energy over the best structure of this formula in the dataset (meV/atom): 469
Volume (Å³/atom): 15.11
Raw total energy (eV per atom): -9.7568

a = 6.4565 Å, b = 6.4565 Å, c = 6.0247 Å
α = 115.15°, β = 115.15°, γ = 101.93°
Element x y z (fractional)
Tc1 0.2860 0.3868 0.2803
Tc2 0.6368 0.0360 0.7803
Tc3 0.2557 0.8564 0.2197
Tc4 0.1064 0.0057 0.7197
Os1 0.9383 0.5312 0.2192
Os2 0.9692 0.0621 0.2808
Os3 0.7812 0.6883 0.7192
Os4 0.3121 0.7192 0.7808
Ru1 0.9750 0.3699 0.7654
Ru2 0.6199 0.7250 0.2654
Ru3 0.6044 0.2096 0.2346
Ru4 0.4596 0.3544 0.7346

---

Compound: TcOs2Ru
Source: Alexandria
Functional: PBE
Structure: optimized geometry

Results
DOS at the Fermi energy (states/eV/f.u.): 4.2
SG: I-42d, No. 122
Excess energy over the best structure of this formula in the dataset (meV/atom): 1362
Volume (Å³/atom): 21.31
Raw total energy (eV per atom): -9.2213

a = 5.5561 Å, b = 5.5561 Å, c = 6.7773 Å
α = 65.80°, β = 65.80°, γ = 90.00°
Element x y z (fractional)
Ru1 0.0000 0.0000 0.0000
Ru2 0.7500 0.2500 0.5000
Os1 0.6277 0.1250 0.2500
Os2 0.1223 0.6250 0.2500
Os3 0.3750 0.3723 0.7500
Os4 0.8750 0.8777 0.7500
Tc1 0.5000 0.5000 0.0000
Tc2 0.2500 0.7500 0.5000

---

Compound: TcOsRu
Source: Alexandria
Functional: PBE
Structure: optimized geometry

Results
DOS at the Fermi energy (states/eV/f.u.): 3.8
SG: Cmcm, No. 63
Excess energy over the best structure of this formula in the dataset (meV/atom): 15
Volume (Å³/atom): 14.29
Raw total energy (eV per atom): -10.2106

a = 3.8497 Å, b = 3.8593 Å, c = 6.0833 Å
α = 71.51°, β = 90.00°, γ = 90.00°
Element x y z (fractional)
Ru1 0.2500 0.9178 0.1644
Ru2 0.7500 0.0822 0.8356
Tc1 0.2500 0.2499 0.5002
Tc2 0.7500 0.7501 0.4998
Os1 0.2500 0.5840 0.8320
Os2 0.7500 0.4160 0.1680

---

Compound: TcOsRu2
Source: Alexandria
Functional: PBE
Structure: optimized geometry

Results
DOS at the Fermi energy (states/eV/f.u.): 4.1
SG: R-3m, No. 166
Excess energy over the best structure of this formula in the dataset (meV/atom): 161
Volume (Å³/atom): 14.21
Raw total energy (eV per atom): -9.9370

a = 9.0059 Å, b = 9.0059 Å, c = 9.0059 Å
α = 17.38°, β = 17.38°, γ = 17.38°
Element x y z (fractional)
Os1 0.7500 0.7500 0.7500
Ru1 0.0002 0.0002 0.0002
Ru2 0.4998 0.4998 0.4998
Tc1 0.2500 0.2500 0.2500